[1]
Material: NaIn3Ag
Method: DFT, PBE
State: optimized geometry

Cell lengths 5.418, 5.418, 5.418 Å; angles 90.00, 90.00, 90.00 degrees
Space group Pm-3m (No. 221)
One atom of each set of equivalent atoms:
Na (0.000, 0.000, 0.000) [1 per cell]
In (0.000, 0.500, 0.500) [3 per cell]
Ag (0.500, 0.500, 0.500) [1 per cell]

Properties
**Calculated total energy**: -2.32 eV/atom
**Calculated volume**: 31.80 Å³/atom
**ΔE_f**: 0.15 eV per atom



[2]
Material: La2PmH
Method: DFT, PBE
State: optimized geometry

Cell lengths 5.7071, 5.7071, 4.1337 Å; angles 90.00, 90.00, 120.00 degrees
Space group P6/mmm (No. 191)
One atom of each set of equivalent atoms:
La (0.3333, 0.6667, 0.0000) [2 per cell]
Pm (0.0000, 0.0000, 0.5000) [1 per cell]
H (0.0000, 0.0000, 0.0000) [1 per cell]

Properties
**Calculated total energy**: -4.38 eV/atom
**Calculated volume**: 29.15 Å³/atom



[3]
Material: MgNpBi2O8
Method: DFT, PBE
State: optimized geometry

Cell lengths 7.087, 7.241, 6.915 Å; angles 90.00, 90.00, 90.00 degrees
Space group Cmmm (No. 65)
One atom of each set of equivalent atoms:
Mg (0.000, 0.000, 0.000) [2 per cell]
Np (0.000, 0.000, 0.500) [2 per cell]
Bi (0.000, 0.500, 0.237) [4 per cell]
O (0.000, 0.179, 0.272) [8 per cell]
O (0.208, 0.500, 0.000) [4 per cell]
O (0.211, 0.500, 0.500) [4 per cell]

Properties
**Calculated total energy**: -7.03 eV/atom
**Calculated volume**: 14.79 Å³/atom
**Formation energy (no corrections)**: -2160 kJ/mol of formula units



| no. | mass density (Mg/m³) |
| --- | --- |
| 1 | 4.963 |
| 2 | 6.036 |
| 3 | 7.555 |